A relaxed Sr3Au crystal. Source: Alexandria, functional PBE-GGA.

a b c (Å): 7.5894 7.5894 7.5894
angles (deg): 149.18 132.62 57.60
Sites, in units of the cell vectors:
Sr: 0.0000 0.0000 0.0000
Sr: 0.3170 0.8170 0.5000
Sr: 0.6830 0.1830 0.5000
Au: 0.5000 0.5000 0.0000

Computed properties:
Energy of formation from the pure elements = -1.35 eV/f.u.